[1]
Ho6SbAs2P3: optimized geometry, PBE.

Energy relative to the elements, uncorrected: -1.477 eV per atom
VASP energy: -6.237 eV per atom
Density of states at the Fermi level: 0.15 states/eV per atom

abc: 9.1485 9.1485 8.2063
angles: 103.17 103.17 25.72
Last column: nearest neighbours and their distance in Å.
Fractional coordinates of all 12 atoms:
Ho 0.0014 0.0014 0.2327  3 P 2.79-2.86, 1 As 2.92, 2 Sb 3.00
Ho 0.3264 0.3264 0.4172  3 P 2.78-2.88, 2 As 2.92, 1 Sb 3.01
Ho 0.3337 0.3337 0.9131  3 P 2.86-2.88, 3 As 2.89-2.91
Ho 0.6663 0.6663 0.0869  3 P 2.86-2.88, 3 As 2.89-2.91
Ho 0.6736 0.6736 0.5828  3 P 2.78-2.88, 2 As 2.92, 1 Sb 3.01
Ho 0.9986 0.9986 0.7673  3 P 2.79-2.86, 1 As 2.92, 2 Sb 3.00
Sb 0.5000 0.5000 0.5000  6 Ho 3.00-3.01
As 0.1669 0.1669 0.8339  6 Ho 2.89-2.92
As 0.8331 0.8331 0.1661  6 Ho 2.89-2.92
P 0.1659 0.1659 0.3319  6 Ho 2.78-2.88
P 0.5000 0.5000 0.0000  6 Ho 2.79-2.88
P 0.8341 0.8341 0.6681  6 Ho 2.78-2.88

***

[2]
HoScAsP: optimized geometry, PBE.

VASP energy: -6.686 eV per atom
Formation energy from the elements: -5.8 eV per formula unit
Density of states at the Fermi level: 0.13 states/eV per atom

abc: 3.9552 3.9552 5.5458
angles: 90.00 90.00 90.00
Last column: nearest neighbours and their distance in Å.
Fractional coordinates of all 4 atoms:
Ho 0.0000 0.0000 0.0000  2 P 2.77, 4 As 2.80
Sc 0.5000 0.5000 0.5000  2 As 2.77, 4 P 2.80
As 0.5000 0.5000 0.0000  2 Sc 2.77, 4 Ho 2.80
P 0.0000 0.0000 0.5000  2 Ho 2.77, 4 Sc 2.80

***

[3]
Ho6As2P3Se: optimized geometry, PBE.

Energy relative to the elements, uncorrected: -1.659 eV per atom
VASP energy: -6.365 eV per atom
Density of states at the Fermi level: 0.15 states/eV per atom

abc: 9.0238 9.0238 8.0875
angles: 103.06 103.06 25.82
Last column: nearest neighbours and their distance in Å.
Fractional coordinates of all 12 atoms:
Ho 0.0016 0.0016 0.2383  3 P 2.78-2.80, 1 As 2.87, 2 Se 2.93
Ho 0.3293 0.3293 0.4196  3 P 2.81-2.82, 2 As 2.88, 1 Se 2.92
Ho 0.3345 0.3345 0.9131  3 P 2.83-2.84, 3 As 2.89
Ho 0.6655 0.6655 0.0869  3 P 2.83-2.84, 3 As 2.89
Ho 0.6707 0.6707 0.5804  3 P 2.81-2.82, 2 As 2.88, 1 Se 2.92
Ho 0.9984 0.9984 0.7617  3 P 2.78-2.80, 1 As 2.87, 2 Se 2.93
As 0.1659 0.1659 0.8315  6 Ho 2.87-2.89
As 0.8341 0.8341 0.1685  6 Ho 2.87-2.89
P 0.1654 0.1654 0.3336  6 Ho 2.80-2.84
P 0.5000 0.5000 0.0000  6 Ho 2.78-2.83
P 0.8346 0.8346 0.6664  6 Ho 2.80-2.84
Se 0.5000 0.5000 0.5000  6 Ho 2.92-2.93

***

[4]
Ho4AsP2Se: optimized geometry, PBE.

Energy relative to the elements, uncorrected: -1.696 eV per atom
VASP energy: -6.354 eV per atom
Density of states at the Fermi level: 0.15 states/eV per atom

abc: 6.9717 4.0259 6.9986
angles: 90.00 109.28 90.00
Last column: nearest neighbours and their distance in Å.
Fractional coordinates of all 8 atoms:
Ho 0.2405 0.0000 0.2352  3 P 2.78-2.82, 1 As 2.88, 2 Se 2.92
Ho 0.2497 0.5000 0.7605  3 P 2.79-2.82, 2 As 2.88, 1 Se 2.91
Ho 0.7503 0.5000 0.2395  3 P 2.79-2.82, 2 As 2.88, 1 Se 2.91
Ho 0.7595 0.0000 0.7648  3 P 2.78-2.82, 1 As 2.88, 2 Se 2.92
As 0.0000 0.0000 0.5000  6 Ho 2.88
P 0.0000 0.5000 0.0000  6 Ho 2.78-2.79
P 0.5000 0.0000 0.0000  6 Ho 2.82
Se 0.5000 0.5000 0.5000  6 Ho 2.91-2.92

***

[5]
Ho6As3PSe2: optimized geometry, PBE.

Energy relative to the elements, uncorrected: -1.672 eV per atom
VASP energy: -6.155 eV per atom
Density of states at the Fermi level: 0.27 states/eV per atom

abc: 9.1017 9.1017 8.1386
angles: 102.84 102.84 25.83
Last column: nearest neighbours and their distance in Å.
Fractional coordinates of all 12 atoms:
Ho 0.0024 0.0024 0.2587  2 P 2.83, 3 As 2.88-2.92, 1 Se 2.94
Ho 0.3373 0.3373 0.4254  1 P 2.81, 3 As 2.84-2.91, 2 Se 2.93
Ho 0.3374 0.3374 0.9098  3 As 2.81-2.83, 3 Se 2.92-2.94
Ho 0.6626 0.6626 0.0902  3 As 2.81-2.83, 3 Se 2.92-2.94
Ho 0.6627 0.6627 0.5746  1 P 2.81, 3 As 2.84-2.91, 2 Se 2.93
Ho 0.9976 0.9976 0.7413  2 P 2.83, 3 As 2.88-2.92, 1 Se 2.94
As 0.1689 0.1689 0.3343  6 Ho 2.83-2.91
As 0.5000 0.5000 0.0000  6 Ho 2.81-2.92
As 0.8311 0.8311 0.6657  6 Ho 2.83-2.91
P 0.5000 0.5000 0.5000  6 Ho 2.81-2.83
Se 0.1674 0.1674 0.8357  6 Ho 2.92-2.94
Se 0.8326 0.8326 0.1643  6 Ho 2.92-2.94

***

[6]
Ho4AsPSe2: optimized geometry, PBE.

Energy relative to the elements, uncorrected: -1.729 eV per atom
VASP energy: -6.147 eV per atom
Density of states at the Fermi level: 0.40 states/eV per atom

abc: 7.0018 4.0393 7.0732
angles: 90.00 109.29 90.00
Last column: nearest neighbours and their distance in Å.
Fractional coordinates of all 8 atoms:
Ho 0.2375 0.0000 0.2299  2 P 2.78, 1 As 2.83, 3 Se 2.92-2.96
Ho 0.2496 0.5000 0.7662  1 P 2.77, 2 As 2.82, 3 Se 2.92-2.97
Ho 0.7504 0.5000 0.2338  1 P 2.77, 2 As 2.82, 3 Se 2.92-2.97
Ho 0.7625 0.0000 0.7701  2 P 2.78, 1 As 2.83, 3 Se 2.92-2.96
As 0.5000 0.0000 0.0000  6 Ho 2.82-2.83
P 0.0000 0.5000 0.0000  6 Ho 2.77-2.78
Se 0.0000 0.0000 0.5000  6 Ho 2.92
Se 0.5000 0.5000 0.5000  6 Ho 2.96-2.97

***

[7]
Ho6As2PSe3: optimized geometry, PBE.

Energy relative to the elements, uncorrected: -1.719 eV per atom
VASP energy: -6.104 eV per atom
Density of states at the Fermi level: 0.35 states/eV per atom

abc: 9.1141 9.1141 8.1552
angles: 103.43 103.43 25.68
Last column: nearest neighbours and their distance in Å.
Fractional coordinates of all 12 atoms:
Ho 0.0019 0.0019 0.2332  2 P 2.77, 1 As 2.85, 3 Se 2.94-2.98
Ho 0.3316 0.3316 0.4241  3 As 2.83-2.85, 3 Se 2.91-2.92
Ho 0.3405 0.3405 0.9141  1 P 2.75, 2 As 2.84, 3 Se 2.92-2.98
Ho 0.6595 0.6595 0.0859  1 P 2.75, 2 As 2.84, 3 Se 2.92-2.98
Ho 0.6684 0.6684 0.5759  3 As 2.83-2.85, 3 Se 2.91-2.92
Ho 0.9981 0.9981 0.7668  2 P 2.77, 1 As 2.85, 3 Se 2.94-2.98
As 0.1668 0.1668 0.3327  6 Ho 2.83-2.85
As 0.8332 0.8332 0.6673  6 Ho 2.83-2.85
P 0.5000 0.5000 0.0000  6 Ho 2.75-2.77
Se 0.1679 0.1679 0.8333  6 Ho 2.92-2.98
Se 0.5000 0.5000 0.5000  6 Ho 2.91-2.98
Se 0.8321 0.8321 0.1667  6 Ho 2.92-2.98

***

[8]
Ho6AsP2Se3: optimized geometry, PBE.

Energy relative to the elements, uncorrected: -1.745 eV per atom
VASP energy: -6.195 eV per atom
Density of states at the Fermi level: 0.35 states/eV per atom

abc: 9.0796 9.0796 8.1301
angles: 103.71 103.71 25.62
Last column: nearest neighbours and their distance in Å.
Fractional coordinates of all 12 atoms:
Ho 0.0064 0.0064 0.2469  1 P 2.76, 2 As 2.83, 3 Se 2.90-2.95
Ho 0.3276 0.3276 0.4285  3 P 2.76-2.77, 3 Se 2.96-2.97
Ho 0.3342 0.3342 0.8996  2 P 2.77, 1 As 2.85, 3 Se 2.91-2.96
Ho 0.6658 0.6658 0.1004  2 P 2.77, 1 As 2.85, 3 Se 2.91-2.96
Ho 0.6724 0.6724 0.5715  3 P 2.76-2.77, 3 Se 2.96-2.97
Ho 0.9936 0.9936 0.7531  1 P 2.76, 2 As 2.83, 3 Se 2.90-2.95
As 0.5000 0.5000 0.0000  6 Ho 2.83-2.85
P 0.1669 0.1669 0.3342  6 Ho 2.76-2.77
P 0.8331 0.8331 0.6658  6 Ho 2.76-2.77
Se 0.1653 0.1653 0.8335  6 Ho 2.91-2.96
Se 0.5000 0.5000 0.5000  6 Ho 2.90-2.97
Se 0.8347 0.8347 0.1665  6 Ho 2.91-2.96

***

[9]
Ho6As3P2Se: optimized geometry, PBE.

Energy relative to the elements, uncorrected: -1.636 eV per atom
VASP energy: -6.279 eV per atom
Density of states at the Fermi level: 0.16 states/eV per atom

abc: 9.0573 9.0573 8.1209
angles: 102.81 102.81 25.87
Last column: nearest neighbours and their distance in Å.
Fractional coordinates of all 12 atoms:
Ho 0.0026 0.0026 0.2588  1 P 2.82, 3 As 2.83-2.87, 2 Se 2.91
Ho 0.3299 0.3299 0.9091  2 P 2.83, 3 As 2.84-2.90, 1 Se 2.93
Ho 0.3311 0.3311 0.4208  3 P 2.83-2.84, 3 As 2.90-2.91
Ho 0.6689 0.6689 0.5792  3 P 2.83-2.84, 3 As 2.90-2.91
Ho 0.6701 0.6701 0.0909  2 P 2.83, 3 As 2.84-2.90, 1 Se 2.93
Ho 0.9974 0.9974 0.7412  1 P 2.82, 3 As 2.83-2.87, 2 Se 2.91
As 0.1645 0.1645 0.8334  6 Ho 2.84-2.91
As 0.5000 0.5000 0.5000  6 Ho 2.83-2.90
As 0.8355 0.8355 0.1666  6 Ho 2.84-2.91
P 0.1665 0.1665 0.3325  6 Ho 2.82-2.84
P 0.8335 0.8335 0.6675  6 Ho 2.82-2.84
Se 0.5000 0.5000 0.0000  6 Ho 2.91-2.93

***

[10]
Ho4TeAs2P: optimized geometry, PBE.

Energy relative to the elements, uncorrected: -1.511 eV per atom
VASP energy: -6.031 eV per atom
Density of states at the Fermi level: 0.16 states/eV per atom

abc: 7.1423 4.1209 7.1823
angles: 90.00 109.25 90.00
Last column: nearest neighbours and their distance in Å.
Fractional coordinates of all 8 atoms:
Ho 0.2360 0.0000 0.2296  3 As 2.82-2.96, 1 P 2.89, 2 Te 3.03
Ho 0.2473 0.5000 0.7631  3 As 2.83-2.96, 2 P 2.89, 1 Te 3.01
Ho 0.7527 0.5000 0.2369  3 As 2.83-2.96, 2 P 2.89, 1 Te 3.01
Ho 0.7640 0.0000 0.7704  3 As 2.82-2.96, 1 P 2.89, 2 Te 3.03
Te 0.5000 0.5000 0.5000  6 Ho 3.01-3.03
As 0.0000 0.0000 0.5000  6 Ho 2.96
As 0.0000 0.5000 0.0000  6 Ho 2.82-2.83
P 0.5000 0.0000 0.0000  6 Ho 2.89

***

[11]
Ho8Te4AsP3: optimized geometry, PBE.

Energy relative to the elements, uncorrected: -1.522 eV per atom
VASP energy: -5.902 eV per atom
Density of states at the Fermi level: 0.35 states/eV per atom

abc: 8.4861 8.4861 8.4861
angles: 58.02 58.02 58.02
Last column: nearest neighbours and their distance in Å.
Fractional coordinates of all 16 atoms:
Ho 0.2312 0.7402 0.7402  2 P 2.79, 1 As 2.84, 1 Te 3.09
Ho 0.2363 0.2363 0.2363  3 P 2.79
Ho 0.2598 0.2598 0.7688  2 P 2.79, 1 As 2.84, 1 Te 3.09
Ho 0.2598 0.7688 0.2598  2 P 2.79, 1 As 2.84, 1 Te 3.09
Ho 0.7402 0.2312 0.7402  2 P 2.79, 1 As 2.84, 1 Te 3.09
Ho 0.7402 0.7402 0.2312  2 P 2.79, 1 As 2.84, 1 Te 3.09
Ho 0.7637 0.7637 0.7637  3 P 2.79
Ho 0.7688 0.2598 0.2598  2 P 2.79, 1 As 2.84, 1 Te 3.09
Te 0.0000 0.0000 0.0000  6 Ho 3.09
Te 0.0000 0.5000 0.5000  6 Ho 3.14
Te 0.5000 0.0000 0.5000  6 Ho 3.14
Te 0.5000 0.5000 0.0000  6 Ho 3.14
As 0.5000 0.5000 0.5000  6 Ho 2.84
P 0.0000 0.0000 0.5000  6 Ho 2.79
P 0.0000 0.5000 0.0000  6 Ho 2.79
P 0.5000 0.0000 0.0000  6 Ho 2.79

***

[12]
Ho6Te3AsP2: optimized geometry, PBE.

Energy relative to the elements, uncorrected: -1.518 eV per atom
VASP energy: -5.882 eV per atom
Density of states at the Fermi level: 0.36 states/eV per atom

abc: 9.4456 9.4456 8.4845
angles: 105.26 105.26 25.22
Last column: nearest neighbours and their distance in Å.
Fractional coordinates of all 12 atoms:
Ho 0.0116 0.0116 0.2369  1 P 2.76, 2 As 2.85, 2 Te 3.09
Ho 0.3233 0.3233 0.4382  3 P 2.77-2.80
Ho 0.3379 0.3379 0.8885  2 P 2.78, 1 As 2.88, 1 Te 3.10
Ho 0.6621 0.6621 0.1115  2 P 2.78, 1 As 2.88, 1 Te 3.10
Ho 0.6767 0.6767 0.5618  3 P 2.77-2.80
Ho 0.9884 0.9884 0.7631  1 P 2.76, 2 As 2.85, 2 Te 3.09
Te 0.1648 0.1648 0.8332  6 Ho 3.10-3.14
Te 0.5000 0.5000 0.5000  6 Ho 3.09-3.16
Te 0.8352 0.8352 0.1668  6 Ho 3.10-3.14
As 0.5000 0.5000 0.0000  6 Ho 2.85-2.88
P 0.1672 0.1672 0.3347  6 Ho 2.76-2.80
P 0.8328 0.8328 0.6653  6 Ho 2.76-2.80